No. 1
Below is a relaxed Sc4ZnAg crystal, with properties calculated at the PBE level.

Geometry as POSCAR:
```
Sc4ZnAg
1.0
-0.5932 -2.8728 -1.5659
-0.3998 -1.5159 2.9324
-11.3450 2.4848 -0.2618
Ag Sc Zn
1 4 1
direct
0.5000 0.5000 0.5000
0.0000 0.0000 0.6573
0.5000 0.5000 0.8520
0.5000 0.5000 0.1480
0.0000 0.0000 0.3427
0.0000 0.0000 0.0000
```

## Properties
electronic total energy	-0.3742	Ry per atom
SG	No. 123
relative energy among the computed polymorphs	0	meV per atom

---

No. 2
Below is a relaxed Sc2ZnAg2 crystal, with properties calculated at the PBE level.

Geometry as POSCAR:
```
Sc2ZnAg2
1.0
-2.8619 2.9499 6.1338
6.0297 -1.9877 3.7693
1.5761 3.2299 -0.8180
Sc Ag Zn
4 4 2
direct
0.1691 0.6691 0.5000
0.8309 0.3309 0.5000
0.3309 0.1691 0.5000
0.6691 0.8309 0.5000
0.8667 0.6333 0.0000
0.1333 0.3667 0.0000
0.6333 0.1333 0.0000
0.3667 0.8667 0.0000
0.5000 0.5000 0.0000
0.0000 0.0000 0.0000
```

## Properties
electronic total energy	-0.3016	Ry per atom
SG	No. 127
relative energy among the computed polymorphs	22	meV per atom

---

No. 3
Below is a relaxed ScZn6Ag2 crystal, with properties calculated at the PBE level.

Geometry as POSCAR:
```
ScZn6Ag2
1.0
3.0550 0.0000 0.0000
1.5275 7.5027 1.3345
1.5275 2.7891 7.0917
Zn Sc Ag
6 1 2
direct
0.3264 0.9972 0.3500
0.6736 0.0028 0.6500
0.5000 0.3260 0.6740
0.5000 0.6740 0.3260
0.3264 0.3500 0.9972
0.6736 0.6500 0.0028
0.0000 0.0000 0.0000
0.8546 0.6454 0.6454
0.1454 0.3546 0.3546
```

## Properties
electronic total energy	-0.1684	Ry per atom
SG	No. 71
relative energy among the computed polymorphs	0	meV per atom

---

No. 4
Below is a relaxed ScZn2Ag crystal, with properties calculated at the PBE level.

Geometry as POSCAR:
```
ScZn2Ag
1.0
-3.4057 -0.6938 -2.4464
-0.9447 -2.2632 1.9571
-3.2063 2.4479 3.7693
Zn Ag Sc
2 1 1
direct
0.0000 0.1895 0.9953
0.5000 0.0624 0.2543
0.0000 0.4563 0.4621
0.5000 0.7919 0.7884
```

## Properties
electronic total energy	-0.2296	Ry per atom
SG	No. 6
relative energy among the computed polymorphs	80	meV per atom

---

No. 5
Below is a relaxed ScZn2Ag crystal, with properties calculated at the PBE level.

Geometry as POSCAR:
```
ScZn2Ag
1.0
7.4442 0.0000 0.0000
0.0000 7.4442 0.0000
3.7221 3.7221 2.8029
Ag Sc Zn
2 2 4
direct
0.0000 0.0000 0.0000
0.7500 0.2500 0.5000
0.2500 0.7500 0.5000
0.5000 0.5000 0.0000
0.8750 0.8964 0.7500
0.6464 0.1250 0.2500
0.1036 0.6250 0.2500
0.3750 0.3536 0.7500
```

## Properties
electronic total energy	-0.2119	Ry per atom
SG	No. 122
relative energy among the computed polymorphs	321	meV per atom

---

No. 6
Below is a relaxed ScZn8Ag6 crystal, with properties calculated at the PBE level.

Geometry as POSCAR:
```
ScZn8Ag6
1.0
-6.0232 -0.4697 -4.5978
-1.1875 -6.2987 -4.0689
-5.2173 -4.2376 0.9995
Ag Zn Sc
6 8 1
direct
0.3335 0.1527 0.9112
0.3974 0.6665 0.0888
0.6026 0.3335 0.9112
0.8473 0.3974 0.0888
0.1527 0.6026 0.9112
0.6665 0.8473 0.0888
0.2173 0.2173 0.3482
0.8588 0.5460 0.4143
0.7827 0.7827 0.6518
0.8191 0.1412 0.5857
0.5460 0.1809 0.4143
0.4540 0.8191 0.5857
0.1809 0.8588 0.4143
0.1412 0.4540 0.5857
0.0000 0.0000 0.0000
```

## Properties
electronic total energy	-0.1666	Ry per atom
SG	No. 148

---

No. 7
Below is a relaxed ScZn4Ag crystal, with properties calculated at the PBE level.

Geometry as POSCAR:
```
ScZn4Ag
1.0
-3.3138 1.6098 2.4247
1.6840 -3.9697 0.9260
3.8973 2.5074 3.6617
Sc Zn Ag
1 4 1
direct
0.0000 0.0000 0.5000
0.6667 0.3333 0.2481
0.3333 0.6667 0.2481
0.3333 0.6667 0.7519
0.6667 0.3333 0.7519
0.0000 0.0000 0.0000
```

## Properties
electronic total energy	-0.1906	Ry per atom
SG	No. 191
relative energy among the computed polymorphs	0	meV per atom

---

No. 8
Below is a relaxed ScZnAg3 crystal, with properties calculated at the PBE level.

Geometry as POSCAR:
```
ScZnAg3
1.0
-1.3263 -2.4418 -3.8943
0.9855 -4.1100 2.2414
-4.4896 -0.1808 1.6424
Sc Ag Zn
1 3 1
direct
0.5000 0.5000 0.5000
0.5000 0.0000 0.0000
0.0000 0.0000 0.5000
0.0000 0.5000 0.0000
0.0000 0.0000 0.0000
```

## Properties
electronic total energy	-0.2142	Ry per atom
SG	No. 221
relative energy among the computed polymorphs	480	meV per atom

---

No. 9
Below is a relaxed ScZn2Ag crystal, with properties calculated at the PBE level.

Geometry as POSCAR:
```
ScZn2Ag
1.0
4.5912 -0.0385 0.0467
2.3284 3.9571 0.0467
2.2677 1.2842 3.7796
Zn Ag Sc
2 1 1
direct
0.7501 0.7501 0.7499
0.9999 0.9999 0.0000
0.5000 0.5000 0.5000
0.2500 0.2500 0.2500
```

## Properties
electronic total energy	-0.2346	Ry per atom
SG	No. 216
relative energy among the computed polymorphs	13	meV per atom

---

No. 10
Below is a relaxed ScZnAg3 crystal, with properties calculated at the PBE level.

Geometry as POSCAR:
```
ScZnAg3
1.0
5.9742 0.0000 0.0000
0.0000 6.8770 -2.1094
0.0000 0.0728 8.7732
Ag Sc Zn
12 4 4
direct
0.2188 0.0996 0.3992
0.7546 0.4924 0.4970
0.7188 0.9004 0.1008
0.7454 0.4924 0.9970
0.0090 0.7313 0.8172
0.2812 0.0996 0.8992
0.2546 0.5076 0.0030
0.4910 0.7313 0.3172
0.7812 0.9004 0.6008
0.5090 0.2687 0.6828
0.2454 0.5076 0.5030
0.9910 0.2687 0.1828
0.0080 0.3033 0.7099
0.4920 0.3033 0.2099
0.5080 0.6967 0.7901
0.9920 0.6967 0.2901
0.2437 0.8957 0.5990
0.7437 0.1043 0.9010
0.2563 0.8957 0.0990
0.7563 0.1043 0.4010
```

## Properties
electronic total energy	-0.2495	Ry per atom
SG	No. 14
relative energy among the computed polymorphs	0	meV per atom

---

No. 11
Below is a relaxed ScZn2Ag crystal, with properties calculated at the PBE level.

Geometry as POSCAR:
```
ScZn2Ag
1.0
-4.6054 -3.1702 -6.9779
-4.9336 -5.5491 -4.9817
-6.8630 -3.0989 -4.8215
Ag Zn Sc
1 2 1
direct
0.2500 0.2500 0.2500
0.5031 0.5031 0.5031
0.9969 0.9969 0.9969
0.7500 0.7500 0.7500
```

## Properties
electronic total energy	-0.2190	Ry per atom
SG	No. 166
relative energy among the computed polymorphs	224	meV per atom

---

No. 12
Below is a relaxed ScZn6Ag2 crystal, with properties calculated at the PBE level.

Geometry as POSCAR:
```
ScZn6Ag2
1.0
5.4762 0.0000 3.1617
1.8254 5.1630 3.1617
0.0000 0.0000 6.3234
Zn Ag Sc
6 2 1
direct
0.7065 0.2935 0.2935
0.7065 0.7065 0.2935
0.2935 0.7065 0.2935
0.7065 0.2935 0.7065
0.2935 0.7065 0.7065
0.2935 0.2935 0.7065
0.2500 0.2500 0.2500
0.7500 0.7500 0.7500
0.0000 0.0000 0.0000
```

## Properties
electronic total energy	-0.1379	Ry per atom
SG	No. 225
relative energy among the computed polymorphs	415	meV per atom